The following is a PBE+U calculation of a relaxed Li2CoSiO4 crystal, from Alexandria.

Results
Symmetry: C2/m (12)
Relative energy among the computed polymorphs in kJ/mol of formula units: 20.7

The structure in CIF format:
```
data_Li2CoSiO4
_chemical_formula_sum 'Li4 Co2 Si2 O8'
_space_group_name_H-M_alt 'P 1'
_space_group_IT_number 1
_space_group_name_Hall 'P 1'
_cell_length_a 5.314
_cell_length_b 5.314
_cell_length_c 6.308
_cell_angle_alpha 90.67
_cell_angle_beta 90.67
_cell_angle_gamma 92.42
loop_
_atom_site_label
_atom_site_fract_x
_atom_site_fract_y
_atom_site_fract_z
Li1 0.823 0.177 0.000
Li2 0.177 0.823 0.000
Li3 0.318 0.318 0.236
Li4 0.682 0.682 0.764
Co1 0.189 0.811 0.500
Co2 0.811 0.189 0.500
Si1 0.322 0.322 0.755
Si2 0.678 0.678 0.245
O1 0.195 0.195 0.530
O2 0.805 0.805 0.470
O3 0.195 0.195 0.962
O4 0.805 0.805 0.038
O5 0.632 0.291 0.750
O6 0.709 0.368 0.250
O7 0.291 0.632 0.750
O8 0.368 0.709 0.250
```